Compound: Pm12Sm7In
Source: Alexandria via LeMat-Bulk
Functional: PBE
Structure: relaxed

a = 8.8904 Å, b = 8.8904 Å, c = 8.8904 Å
α = 89.08°, β = 89.08°, γ = 89.08°
Closest atoms and distances in Å follow each position.
Element x y z (fractional)
Pm (0.1237, 0.3414, 0.4649)  6 Pm 3.53-3.89, 5 Sm 3.64-3.78
Sm (0.7618, 0.2129, 0.6241)  6 Pm 3.35-3.68, 3 Sm 3.60-3.71
Sm (0.2129, 0.6241, 0.7618)  6 Pm 3.35-3.68, 3 Sm 3.60-3.71
Pm (0.3353, 0.8871, 0.0048)  1 In 3.13, 3 Sm 3.35-3.50
Pm (0.5351, 0.8763, 0.6586)  6 Pm 3.53-3.89, 5 Sm 3.64-3.78
Pm (0.6586, 0.5351, 0.8763)  6 Pm 3.53-3.89, 5 Sm 3.64-3.78
Sm (0.3759, 0.2382, 0.7871)  6 Pm 3.35-3.68, 3 Sm 3.60-3.71
Sm (0.2382, 0.7871, 0.3759)  6 Pm 3.35-3.68, 3 Sm 3.60-3.71
Pm (0.1129, 0.9952, 0.6647)  1 In 3.13, 3 Sm 3.35-3.50
Pm (0.9952, 0.6647, 0.1129)  1 In 3.13, 3 Sm 3.35-3.50
In (0.0000, 0.0000, 0.0000)  6 Pm 3.13
Pm (0.8871, 0.0048, 0.3353)  1 In 3.13, 3 Sm 3.35-3.50
Pm (0.0048, 0.3353, 0.8871)  1 In 3.13, 3 Sm 3.35-3.50
Pm (0.4649, 0.1237, 0.3414)  6 Pm 3.53-3.89, 5 Sm 3.64-3.78
Pm (0.3414, 0.4649, 0.1237)  6 Pm 3.53-3.89, 5 Sm 3.64-3.78
Sm (0.5000, 0.5000, 0.5000)  6 Sm 3.60, 6 Pm 3.67
Pm (0.8763, 0.6586, 0.5351)  6 Pm 3.53-3.89, 5 Sm 3.64-3.78
Pm (0.6647, 0.1129, 0.9952)  1 In 3.13, 3 Sm 3.35-3.50
Sm (0.7871, 0.3759, 0.2382)  6 Pm 3.35-3.68, 3 Sm 3.60-3.71
Sm (0.6241, 0.7618, 0.2129)  6 Pm 3.35-3.68, 3 Sm 3.60-3.71

Calculated values
- calculated volume (A^3/atom) = 35.120
- DOS(E_F) (states/eV/cell) = 40.0
- energy relative to the elements (kJ per mole of atoms) = 15.9
- E_tot (eV for the cell shown) = -89.48

---

Compound: PmSm2In3
Source: Alexandria via LeMat-Bulk
Functional: PBE
Structure: relaxed

a = 6.5676 Å, b = 6.5648 Å, c = 8.7914 Å
α = 102.86°, β = 111.93°, γ = 90.00°
Closest atoms and distances in Å follow each position.
Element x y z (fractional)
In (0.3681, 0.7500, 0.0000)  4 Sm 3.20-3.52, 2 Pm 3.28-3.29, 2 In 3.33
Sm (0.4467, 0.4118, 0.6594)  7 In 3.15-3.52, 1 Pm 3.52
In (0.2849, 0.0473, 0.3279)  5 Sm 3.15-3.49, 2 Pm 3.26-3.35, 2 In 3.33-3.46
Sm (0.2127, 0.9118, 0.6594)  7 In 3.15-3.52, 1 Pm 3.52
Pm (0.1329, 0.2500, 0.0000)  8 In 3.26-3.63, 2 Sm 3.52
In (0.0430, 0.5473, 0.3279)  5 Sm 3.15-3.49, 2 Pm 3.26-3.35, 2 In 3.33-3.46
In (0.6319, 0.2500, 0.0000)  4 Sm 3.20-3.52, 2 Pm 3.28-3.29, 2 In 3.33
In (0.7151, 0.9527, 0.6721)  5 Sm 3.15-3.49, 2 Pm 3.26-3.35, 2 In 3.33-3.46
Sm (0.5533, 0.5882, 0.3406)  7 In 3.15-3.52, 1 Pm 3.52
In (0.9570, 0.4527, 0.6721)  5 Sm 3.15-3.49, 2 Pm 3.26-3.35, 2 In 3.33-3.46
Pm (0.8671, 0.7500, 0.0000)  8 In 3.26-3.63, 2 Sm 3.52
Sm (0.7873, 0.0882, 0.3406)  7 In 3.15-3.52, 1 Pm 3.52

Calculated values
- calculated volume (A^3/atom) = 28.444
- DOS(E_F) (states/eV/cell) = 7.3
- energy relative to the elements (kJ per mole of atoms) = -41.8
- distance to the lowest polymorph of the same formula (meV/atom) = 61.5
- E_tot (eV for the cell shown) = -50.01

---

Compound: Pm7SmIn4
Source: Alexandria via LeMat-Bulk
Functional: PBE
Structure: relaxed

a = 5.7980 Å, b = 9.5121 Å, c = 7.9024 Å
α = 75.59°, β = 68.48°, γ = 72.26°
Closest atoms and distances in Å follow each position.
Element x y z (fractional)
Pm (0.2819, 0.6567, 0.7795)  4 In 3.07-3.23
Sm (0.0000, 0.0000, 0.0000)  2 Pm 2.90
Pm (0.2062, 0.1209, 0.4667)  4 Pm 3.37-3.76, 4 In 3.42-3.52
Pm (0.7938, 0.8791, 0.5333)  4 Pm 3.37-3.76, 4 In 3.42-3.52
In (0.6814, 0.6673, 0.9698)  5 Pm 3.06-3.25, 1 In 3.10
Pm (0.5000, 0.0000, 0.0000)  2 Sm 2.90, 4 In 3.06-3.18
In (0.5581, 0.2446, 0.6393)  6 Pm 3.07-3.42, 1 In 3.10
Pm (0.0628, 0.6070, 0.2674)  5 In 3.25-3.62, 2 Pm 3.37-3.55
Pm (0.9372, 0.3930, 0.7326)  5 In 3.25-3.62, 2 Pm 3.37-3.55
In (0.3186, 0.3327, 0.0302)  5 Pm 3.06-3.25, 1 In 3.10
Pm (0.7181, 0.3433, 0.2205)  4 In 3.07-3.23
In (0.4419, 0.7554, 0.3607)  6 Pm 3.07-3.42, 1 In 3.10

Calculated values
- calculated volume (A^3/atom) = 31.792
- DOS(E_F) (states/eV/cell) = 13.7
- energy relative to the elements (kJ per mole of atoms) = -13.5
- E_tot (eV for the cell shown) = -50.60

---

Compound: Pm6Sm2In
Source: Alexandria via LeMat-Bulk
Functional: PBE
Structure: relaxed

a = 3.5694 Å, b = 10.4115 Å, c = 9.8066 Å
α = 122.06°, β = 100.51°, γ = 90.00°
Closest atoms and distances in Å follow each position.
Element x y z (fractional)
Pm (0.8236, 0.9859, 0.6477)  1 In 3.32, 7 Pm 3.37-3.67, 3 Sm 3.54-3.71
Pm (0.5000, 0.6984, 0.0000)  6 Pm 3.57-3.67, 2 In 3.61, 4 Sm 3.69
Pm (0.8236, 0.6618, 0.6477)  1 In 3.32, 7 Pm 3.37-3.67, 3 Sm 3.54-3.71
Sm (0.1533, 0.6530, 0.3060)  10 Pm 3.54-3.71, 2 Sm 3.57
In (0.0000, 0.0000, 0.0000)  8 Pm 3.32-3.61, 2 In 3.57
Pm (0.1764, 0.0141, 0.3523)  1 In 3.32, 7 Pm 3.37-3.67, 3 Sm 3.54-3.71
Sm (0.8467, 0.3470, 0.6940)  10 Pm 3.54-3.71, 2 Sm 3.57
Pm (0.5000, 0.3016, 0.0000)  6 Pm 3.57-3.67, 2 In 3.61, 4 Sm 3.69
Pm (0.1764, 0.3382, 0.3523)  1 In 3.32, 7 Pm 3.37-3.67, 3 Sm 3.54-3.71

Calculated values
- calculated volume (A^3/atom) = 33.513
- DOS(E_F) (states/eV/cell) = 11.5
- energy relative to the elements (kJ per mole of atoms) = -1.3
- distance to the lowest polymorph of the same formula (meV/atom) = 0.0
- E_tot (eV for the cell shown) = -40.80